# 1
HfW2AuS, optimized geometry, DFT GGA-PBE; space group = P4/mmm; E_form (uncorrected) = 2.352 eV per atom
1.0
4.8679 0.0000 0.0000
0.0000 4.8679 0.0000
0.0000 0.0000 5.0745
Hf W Au S
1 2 1 1
Direct
0.0000 0.0000 0.0000
0.0000 0.5000 0.0000
0.5000 0.0000 0.0000
0.0000 0.0000 0.5000
0.5000 0.5000 0.5000

# 2
HfSbAu2, optimized geometry, DFT GGA-PBE; space group = P4/mmm; E_form (uncorrected) = -0.276 eV per atom
1.0
4.1927 0.0000 0.0000
0.0000 4.1927 0.0000
0.0000 0.0000 4.5745
Hf Sb Au
1 1 2
Direct
0.0000 0.0000 0.0000
0.5000 0.5000 0.0000
0.0000 0.5000 0.5000
0.5000 0.0000 0.5000

# 3
Hf3SbAu, optimized geometry, DFT GGA-PBE; space group = Pm-3m; E_form (uncorrected) = 0.461 eV per atom; relative energy among the computed polymorphs = 781 meV per atom
1.0
5.1222 0.0000 0.0000
0.0000 5.1222 0.0000
0.0000 0.0000 5.1222
Hf Sb Au
3 1 1
Direct
0.0000 0.0000 0.5000
0.0000 0.5000 0.0000
0.5000 0.0000 0.0000
0.5000 0.5000 0.5000
0.0000 0.0000 0.0000